Entry from Alexandria via LeMat-Bulk: a geometry-optimized MnH12C2N2Cl4 structure (PBE-GGA).

Output
- total DFT energy (no corrections) (eV/atom) = -4.92

Lattice parameters (Å, degrees): 7.3817 19.7486 7.2829 90.00 90.00 90.00
Space group Cmce (No. 64)
Symmetry-distinct sites (fractional):
Mn (0.0000, 0.0000, 0.0000) [4 per cell]
H (0.0000, 0.1110, 0.3428) [8 per cell]
H (0.0000, 0.1855, 0.7007) [8 per cell]
H (0.1122, 0.0876, 0.5364) [16 per cell]
H (0.1214, 0.2100, 0.4974) [16 per cell]
C (0.0000, 0.1849, 0.5503) [8 per cell]
N (0.0000, 0.1134, 0.4868) [8 per cell]
Cl (0.0000, 0.1236, 0.0524) [8 per cell]
Cl (0.2500, 0.0169, 0.7500) [8 per cell]